VASP calculation (PBE-GGA) on a geometry-optimized NaTl structure.

a = 7.631 Å, b = 7.631 Å, c = 7.631 Å
α = 90.00°, β = 90.00°, γ = 90.00°
Fractional positions:
Na1 0.125 0.125 0.125
Na2 0.125 0.625 0.625
Na3 0.375 0.375 0.875
Na4 0.375 0.875 0.375
Na5 0.625 0.125 0.625
Na6 0.625 0.625 0.125
Na7 0.875 0.375 0.375
Na8 0.875 0.875 0.875
Tl1 0.125 0.125 0.625
Tl2 0.125 0.625 0.125
Tl3 0.375 0.375 0.375
Tl4 0.375 0.875 0.875
Tl5 0.625 0.125 0.125
Tl6 0.625 0.625 0.625
Tl7 0.875 0.375 0.875
Tl8 0.875 0.875 0.375

**SG**: Fd-3m, No. 227
**E_form**: -0.108 eV/atom
**Energy**: -31.21 eV/cell
**DOS(E_F)**: 0.482 states/eV/atom